MnBiSb2O: relaxed, PBE+U.

```
MnBiSb2O
1.0
5.071 0.000 0.000
0.000 5.353 0.000
0.000 0.000 5.071
Mn Bi Sb O
1 1 2 1
direct
0.000 0.000 0.000
0.000 0.500 0.000
0.000 0.000 0.500
0.500 0.000 0.000
0.500 0.500 0.500
```

Computed properties:
- calculated total energy (eV per atom) = -4.07
- space group = P4/mmm, No. 123